[1]
AlFe (SCAN, single point on PBEsol structure); volume = 23 Å³/cell; DFT formation energy = -0.2862 eV per atom; crystal system = cubic; D(E_F) = 1.075 states/eV per atom; symmetry = Pm-3m (221)
1.0
2.843 0.000 0.000
0.000 2.843 0.000
0.000 0.000 2.843
Fe Al
1 1
direct
0.500 0.500 0.500 Fe
0.000 0.000 0.000 Al

=====

[2]
AlGaFe2 (SCAN, single point on PBEsol structure); volume = 46 Å³/cell; DFT formation energy = -0.1272 eV per atom; crystal system = cubic; D(E_F) = 1.115 states/eV per atom; symmetry = Fm-3m (225)
1.0
-3.147 -2.106 1.359
-1.645 -2.865 -2.296
0.448 -3.874 0.988
Fe Ga Al
2 1 1
direct
0.250 0.250 0.250 Fe
0.750 0.750 0.750 Fe
0.500 0.500 0.500 Ga
0.000 0.000 0.000 Al

=====

[3]
Gd2AlFe3 (SCAN, single point on PBEsol structure); volume = 96 Å³/cell; DFT formation energy = 0.0062 eV per atom; crystal system = trigonal; D(E_F) = 0.897 states/eV per atom; symmetry = R-3m (166)
1.0
5.134 0.021 0.015
2.552 4.455 0.015
2.552 1.486 4.199
Gd Al Fe
2 1 3
direct
0.622 0.622 0.622 Gd
0.378 0.378 0.378 Gd
0.000 0.000 0.000 Al
0.000 0.500 0.000 Fe
0.500 0.000 0.000 Fe
0.000 0.000 0.500 Fe

=====

[4]
Al2Fe2Ge (SCAN, single point on PBEsol structure); volume = 130 Å³/cell; DFT formation energy = -0.1174 eV per atom; crystal system = tetragonal; D(E_F) = 0.509 states/eV per atom; symmetry = P4/mbm (127)
1.0
3.744 0.000 0.000
0.000 5.887 0.000
0.000 0.000 5.887
Ge Fe Al
2 4 4
direct
0.000 0.000 0.000 Ge
0.000 0.500 0.500 Ge
0.000 0.356 0.856 Fe
0.000 0.856 0.644 Fe
0.000 0.644 0.144 Fe
0.000 0.144 0.356 Fe
0.500 0.159 0.659 Al
0.500 0.659 0.841 Al
0.500 0.841 0.341 Al
0.500 0.341 0.159 Al

=====

[5]
Al2FeHIr (SCAN, single point on PBEsol structure); DFT total energy = -111.3 eV/cell; volume = 52 Å³/cell; crystal system = tetragonal; D(E_F) = 0.126 states/eV per atom; symmetry = P4/mmm (123)
1.0
3.053 0.000 0.000
0.000 4.138 0.000
0.000 0.000 4.138
H Ir Fe Al
1 1 1 2
direct
0.000 0.000 0.000 H
0.500 0.500 0.500 Ir
0.500 0.000 0.000 Fe
0.000 0.000 0.500 Al
0.000 0.500 0.000 Al

=====

[6]
KMg2AlFeSi3H2O12 (SCAN, single point on PBEsol structure); DFT total energy = -214.4 eV/cell; volume = 254 Å³/cell; crystal system = triclinic; symmetry = P1 (1)
1.0
-2.049 2.293 4.337
0.935 -2.091 4.797
8.861 5.083 2.528
K Mg Al Fe Si H O
1 2 1 1 3 2 12
direct
0.005 0.497 0.979 K
0.664 0.666 0.505 Mg
0.335 0.330 0.505 Mg
0.334 0.906 0.769 Al
0.005 0.004 0.506 Fe
0.666 0.239 0.773 Si
0.666 0.091 0.236 Si
0.335 0.754 0.235 Si
0.996 0.617 0.692 H
0.994 0.393 0.304 H
0.001 0.632 0.598 O
0.994 0.383 0.397 O
0.339 0.964 0.600 O
0.659 0.302 0.613 O
0.661 0.042 0.390 O
0.346 0.690 0.390 O
0.987 0.977 0.826 O
0.000 0.948 0.177 O
0.427 0.139 0.828 O
0.588 0.538 0.828 O
0.501 0.942 0.176 O
0.497 0.445 0.173 O

=====

[7]
KAl4Fe3H2O12 (SCAN, single point on PBEsol structure); DFT total energy = -225.0 eV/cell; volume = 238 Å³/cell; crystal system = monoclinic; symmetry = C2/m (12)
1.0
5.123 0.000 -0.019
2.562 4.449 -0.010
1.734 0.000 10.433
K Al Fe H O
1 4 3 2 12
direct
0.000 0.000 0.000 K
0.744 0.667 0.772 Al
0.256 0.333 0.228 Al
0.589 0.667 0.228 Al
0.411 0.333 0.772 Al
0.500 0.000 0.500 Fe
0.829 0.343 0.500 Fe
0.171 0.657 0.500 Fe
0.104 0.000 0.687 H
0.896 0.000 0.313 H
0.803 0.670 0.588 O
0.197 0.330 0.412 O
0.527 0.670 0.412 O
0.473 0.330 0.588 O
0.135 0.000 0.589 O
0.865 0.000 0.411 O
0.414 0.000 0.808 O
0.586 0.000 0.192 O
0.067 0.653 0.807 O
0.933 0.347 0.193 O
0.281 0.653 0.193 O
0.719 0.347 0.807 O

=====

[8]
AlFe2MoH (SCAN, single point on PBEsol structure); DFT total energy = -82.2 eV/cell; volume = 53 Å³/cell; crystal system = tetragonal; D(E_F) = 0.460 states/eV per atom; symmetry = P4/mmm (123)
1.0
-2.541 -1.282 -2.232
2.573 -1.167 -2.259
0.090 -3.533 1.927
H Mo Fe Al
1 1 2 1
direct
0.000 0.000 0.000 H
0.500 0.500 0.500 Mo
0.000 0.500 0.000 Fe
0.500 0.000 0.000 Fe
0.000 0.000 0.500 Al

=====

> Which of these has the highest volume?

KMg2AlFeSi3H2O12